--- P ---
BiSbPb2 | PBE | optimized geometry

```
BiSbPb2
1.0
-1.8629 4.2121 -1.6963
-1.9205 0.9770 4.5350
4.2296 2.3850 1.2774
Pb Sb Bi
2 1 1
direct
0.0000 0.0000 0.5000 Pb
0.0000 0.5000 0.0000 Pb
0.5000 0.5000 0.5000 Sb
0.5000 0.0000 0.0000 Bi
```

Calculated values
Space-group type ... No. 123

=====

--- Q ---
BiSbPb2 | PBE | optimized geometry

```
BiSbPb2
1.0
-2.5053 -1.3564 4.7872
-4.1563 -3.7093 0.0153
0.7812 -5.0495 2.2194
Pb Sb Bi
2 1 1
direct
0.2500 0.2500 0.2500 Pb
0.7500 0.7500 0.7500 Pb
0.0000 0.0000 0.0000 Sb
0.5000 0.5000 0.5000 Bi
```

Calculated values
Space-group type ... No. 225

=====

So which one wins? Going from most stable to least: P, Q.

=====

--- P ---
BiSb2Pb4 | PBE | optimized geometry

```
BiSb2Pb4
1.0
-5.2726 0.6121 -6.7980
2.2596 -8.2036 1.4156
-4.1278 2.9875 6.9906
Bi Sb Pb
2 4 8
direct
0.2501 0.7498 0.5001 Bi
0.9999 0.0002 0.9999 Bi
0.6250 0.3750 0.7500 Sb
0.6250 0.8750 0.2500 Sb
0.6250 0.3750 0.2500 Sb
0.1250 0.3750 0.7500 Sb
0.9411 0.2597 0.3203 Pb
0.3089 0.4904 0.1796 Pb
0.9394 0.6209 0.6799 Pb
0.7402 0.0588 0.6796 Pb
0.3791 0.0606 0.3202 Pb
0.3106 0.1292 0.8202 Pb
0.5098 0.6911 0.8204 Pb
0.8709 0.6894 0.1798 Pb
```

Calculated values
Space-group type ... No. 70

=====

--- Q ---
BiSb2Pb4 | PBE | optimized geometry

```
BiSb2Pb4
1.0
7.9933 0.4441 -2.5159
-4.1491 6.8449 -2.5184
-0.2666 -0.5018 8.3306
Bi Sb Pb
2 4 8
direct
0.2505 0.7495 0.5005 Bi
0.9995 0.0004 0.0004 Bi
0.6238 0.5009 0.3758 Sb
0.1257 0.2490 0.6241 Sb
0.7509 0.3738 0.8758 Sb
0.4990 0.8757 0.1241 Sb
0.7222 0.9750 0.5916 Pb
0.5282 0.6203 0.7524 Pb
0.3821 0.1286 0.4070 Pb
0.8704 0.2781 0.2525 Pb
0.0248 0.6194 0.7484 Pb
0.8695 0.7750 0.2486 Pb
0.2249 0.4722 0.0916 Pb
0.3787 0.1321 0.9072 Pb
```

Calculated values
Space-group type ... No. 9

=====

So which one wins? Going from most stable to least: Q, P.

=====

--- P ---
Bi2Sb2Pb | PBE | optimized geometry

```
Bi2Sb2Pb
1.0
8.7192 0.0000 0.0000
0.0000 8.7192 0.0000
0.0000 0.0000 4.1657
Pb Sb Bi
2 4 4
direct
0.0000 0.0000 0.0000 Pb
0.5000 0.5000 0.0000 Pb
0.3469 0.8469 0.0000 Sb
0.8469 0.6531 0.0000 Sb
0.6531 0.1531 0.0000 Sb
0.1531 0.3469 0.0000 Sb
0.1603 0.6603 0.5000 Bi
0.6603 0.8397 0.5000 Bi
0.8397 0.3397 0.5000 Bi
0.3397 0.1603 0.5000 Bi
```

Calculated values
Space-group type ... No. 127

=====

--- Q ---
Bi2Sb2Pb | PBE | optimized geometry

```
Bi2Sb2Pb
1.0
4.5199 0.0000 0.0000
0.0000 4.5199 0.0000
2.2600 2.2600 8.1766
Pb Sb Bi
1 2 2
direct
0.0000 0.0000 0.0000 Pb
0.4094 0.4094 0.1813 Sb
0.5906 0.5906 0.8187 Sb
0.7500 0.2500 0.5000 Bi
0.2500 0.7500 0.5000 Bi
```

Calculated values
Space-group type ... No. 139

=====

So which one wins? Going from most stable to least: P, Q.